[1]
TcBi2O2 | PBE-GGA | relaxed

```
10
Lattice="-4.638 -4.185 -2.766 -3.764 4.547 -2.891 -3.870 -0.123 -7.876" Properties=species:S:1:pos:R:3 pbc="T T T"
Bi -5.088 -1.656 -3.700
Bi -4.286 1.157 -5.571
Bi -7.606 1.940 -9.627
Bi -6.142 -1.115 -8.865
O -6.392 0.406 -4.896
O -7.802 0.038 -7.696
O -6.173 -2.708 -6.664
O -5.754 2.910 -7.038
Tc -7.958 0.314 -5.874
Tc -2.624 0.012 -3.601
```


[2]
TmBiTeO2 | PBE-GGA | relaxed

```
5
Lattice="-1.962 1.962 6.261 1.962 -1.962 6.261 1.962 1.962 -6.261" Properties=species:S:1:pos:R:3 pbc="T T T"
Bi 0.000 0.000 8.194
O 0.000 1.962 3.203
O 1.962 0.000 3.203
Te 0.000 0.000 12.465
Tm 0.000 0.000 4.241
```


Here are the calculated magnetic moment numbers, same order: 0.6; 0.0 (Bohr magnetons per cell).
Here are the calculated final energy numbers, same order: -6.0096; -6.2422 (eV/atom).
Here are the calculated V numbers, same order: 19.51; 19.28 (A^3/atom).